Below is an optimized crystal structure of TbNi4Sb, with properties calculated at the PBE-GGA level.

Summary:
- Energy: -5.6484 eV/atom
- Volume: 355.7 Å³/cell
- Energy relative to the elements, uncorrected: -2.012 eV per formula unit

Cell: 7.0853 7.0853 7.0853 Å, 90.00 90.00 90.00°
Space group F-43m (No. 216)
Inequivalent atoms, fractional coordinates:
1 Tb 0.0000 0.0000 0.0000 (multiplicity 4)
2 Ni 0.1251 0.1251 0.3749 (multiplicity 16)
3 Sb 0.2500 0.2500 0.7500 (multiplicity 4)